Crystalline TiSbP2S at its relaxed geometry. Source: the Alexandria database, functional PBE.

```
data_TiSbP2S
_chemical_formula_sum 'Ti1 Sb1 P2 S1'
_cell_length_a 4.950
_cell_length_b 4.950
_cell_length_c 4.862
_cell_angle_alpha 90.00
_cell_angle_beta 90.00
_cell_angle_gamma 90.00
_symmetry_space_group_name_H-M 'P 4/m m m'
_symmetry_Int_Tables_number 123
_symmetry_space_group_name_Hall '-P 4 2'
loop_
_atom_site_label
_atom_site_fract_x
_atom_site_fract_y
_atom_site_fract_z
Ti1 0.000 0.000 0.000
Sb1 0.500 0.500 0.500
P1 0.000 0.500 0.500
S1 0.500 0.500 0.000
```

Calculated values
Total magnetization ... 0.890 μB per formula unit
Excess energy over the best structure of this formula in the dataset ... 824 meV/atom
Density ... 3.68 g/cm³
Energy relative to the elements, uncorrected ... 0.94 eV/atom

***

Crystalline TiSbP2S at its relaxed geometry. Source: the Alexandria database, functional PBE.

```
data_TiSbP2S
_chemical_formula_sum 'Ti1 Sb1 P2 S1'
_cell_length_a 4.835
_cell_length_b 4.835
_cell_length_c 4.545
_cell_angle_alpha 90.00
_cell_angle_beta 90.00
_cell_angle_gamma 90.00
_symmetry_space_group_name_H-M 'P 4/m m m'
_symmetry_Int_Tables_number 123
_symmetry_space_group_name_Hall '-P 4 2'
loop_
_atom_site_label
_atom_site_fract_x
_atom_site_fract_y
_atom_site_fract_z
Ti1 0.000 0.000 0.000
Sb1 0.500 0.500 0.500
P1 0.000 0.500 0.000
S1 0.000 0.000 0.500
```

Calculated values
Total magnetization ... 0.000 μB per formula unit
Excess energy over the best structure of this formula in the dataset ... 0 meV/atom
Density ... 4.12 g/cm³
Energy relative to the elements, uncorrected ... 0.11 eV/atom

***

Crystalline TlSbP2S8 at its relaxed geometry. Source: the Alexandria database, functional PBE.

```
data_TlSbP2S8
_chemical_formula_sum 'Tl3 Sb3 P6 S24'
_cell_length_a 6.0074
_cell_length_b 6.0074
_cell_length_c 29.0315
_cell_angle_alpha 90.00
_cell_angle_beta 90.00
_cell_angle_gamma 120.00
_symmetry_space_group_name_H-M 'R -3'
_symmetry_Int_Tables_number 148
_symmetry_space_group_name_Hall '-R 3'
loop_
_atom_site_label
_atom_site_fract_x
_atom_site_fract_y
_atom_site_fract_z
Tl1 0.0000 0.0000 0.0000
Sb1 0.0000 0.0000 0.5000
P1 0.0000 0.0000 0.2418
S1 0.0000 0.0000 0.3103
S2 0.0059 0.3486 0.5550
```

Calculated values
Total magnetization ... 0.000 μB per formula unit
Density ... 3.54 g/cm³
Energy relative to the elements, uncorrected ... -0.11 eV/atom

***

Crystalline TlSbPS2 at its relaxed geometry. Source: the Alexandria database, functional PBE.

```
data_TlSbPS2
_chemical_formula_sum 'Tl1 Sb1 P1 S2'
_cell_length_a 5.140
_cell_length_b 5.140
_cell_length_c 5.194
_cell_angle_alpha 90.00
_cell_angle_beta 90.00
_cell_angle_gamma 90.00
_symmetry_space_group_name_H-M 'P 4/m m m'
_symmetry_Int_Tables_number 123
_symmetry_space_group_name_Hall '-P 4 2'
loop_
_atom_site_label
_atom_site_fract_x
_atom_site_fract_y
_atom_site_fract_z
Tl1 0.000 0.000 0.000
Sb1 0.500 0.500 0.500
P1 0.500 0.500 0.000
S1 0.000 0.500 0.500
```

Calculated values
Total magnetization ... 1.687 μB per formula unit
Excess energy over the best structure of this formula in the dataset ... 0 meV/atom
Density ... 5.10 g/cm³
Energy relative to the elements, uncorrected ... 0.40 eV/atom